[1]
First-principles (GGA-PBE) data for Tb5Pr6Cd after structural relaxation, as listed in Alexandria.

Calculated values
* volume: 33.08 Å³ per atom
* calculated formation energy: -0.172 eV per formula unit

a b c (Å): 5.1323 9.9971 15.4734
angles (deg): 90.00 90.00 90.00
Space group Immm (No. 71)
Inequivalent atoms, fractional coordinates:
Tb 0.0000 0.0000 0.0000
Tb 0.0000 0.0000 0.3285
Tb 0.0000 0.5000 0.3368
Pr 0.0000 0.2430 0.5000
Pr 0.0000 0.2556 0.1649
Cd 0.0000 0.5000 0.0000

[2]
First-principles (GGA-PBE) data for Tb2PrCd5 after structural relaxation, as listed in Alexandria.

Calculated values
* volume: 25.72 Å³ per atom
* calculated formation energy: -2.540 eV per formula unit

a b c (Å): 5.2167 5.2167 15.1204
angles (deg): 90.00 90.00 90.00
Space group I4/mmm (No. 139)
Inequivalent atoms, fractional coordinates:
Tb 0.0000 0.0000 0.2362
Pr 0.0000 0.0000 0.5000
Cd 0.0000 0.0000 0.0000
Cd 0.0000 0.5000 0.1234

[3]
First-principles (GGA-PBE) data for Tb7Pr2Cd2 after structural relaxation, as listed in Alexandria.

Calculated values
* volume: 31.66 Å³ per atom
* calculated formation energy: 0.386 eV per formula unit

a b c (Å): 9.1690 9.6198 8.1472
angles (deg): 90.00 104.26 90.00
Space group C2/m (No. 12)
Inequivalent atoms, fractional coordinates:
Tb 0.0000 0.0000 0.0000
Tb 0.1786 0.2982 0.1698
Tb 0.1937 0.5000 0.5366
Pr 0.0000 0.1814 0.5000
Cd 0.1048 0.5000 0.8584

[4]
First-principles (GGA-PBE) data for TbPr3Cd6 after structural relaxation, as listed in Alexandria.

Calculated values
* volume: 27.08 Å³ per atom
* calculated formation energy: -2.931 eV per formula unit

a b c (Å): 9.4924 5.2429 11.2627
angles (deg): 90.00 104.90 90.00
Space group P2_1/m (No. 11)
Inequivalent atoms, fractional coordinates:
Tb 0.0534 0.2500 0.3964
Pr 0.2364 0.2500 0.9967
Pr 0.3478 0.7500 0.7796
Pr 0.4748 0.2500 0.6086
Cd 0.0476 0.7500 0.8905
Cd 0.1323 0.2500 0.6926
Cd 0.1468 0.7500 0.1859
Cd 0.2289 0.7500 0.4814
Cd 0.3279 0.2500 0.2929
Cd 0.4500 0.7500 0.0878

[5]
First-principles (GGA-PBE) data for Tb2Pr3Cd2 after structural relaxation, as listed in Alexandria.

Calculated values
* volume: 30.87 Å³ per atom
* calculated formation energy: -1.034 eV per formula unit
* distance to the lowest polymorph of the same formula: 0 meV/atom

a b c (Å): 5.5371 5.5371 24.4172
angles (deg): 90.00 90.00 120.00
Space group R-3m (No. 166, hexagonal axes)
Inequivalent atoms, fractional coordinates:
Tb 0.0000 0.0000 0.0738
Pr 0.0000 0.0000 0.3416
Pr 0.0000 0.0000 0.5000
Cd 0.0000 0.0000 0.2103

[6]
First-principles (GGA-PBE) data for Tb2PrTl2Cd2 after structural relaxation, as listed in Alexandria.

Calculated values
* volume: 27.95 Å³ per atom
* calculated formation energy: -1.267 eV per formula unit

a b c (Å): 5.0448 5.0448 26.6334
angles (deg): 90.00 90.00 120.00
Space group R-3m (No. 166, hexagonal axes)
Inequivalent atoms, fractional coordinates:
Tb 0.0000 0.0000 0.1340
Pr 0.0000 0.0000 0.0000
Tl 0.0000 0.0000 0.2674
Cd 0.0000 0.0000 0.4311

no.,D(E_F) (states/eV/atom)
1,1.356
2,0.505
3,1.298
4,0.861
5,1.064
6,0.653